1.
A plane-wave DFT calculation with PBE-GGA was carried out for crystalline Ba5Hg2Pd at its relaxed geometry.

a b c (Å): 19.908 8.175 8.886
angles (deg): 90.00 97.67 90.00
Space group C2/c (No. 15)
Unique sites:
Ba 0.000 0.070 0.250 (multiplicity 4)
Ba 0.097 0.382 0.929 (multiplicity 8)
Ba 0.216 0.074 0.306 (multiplicity 8)
Hg 0.103 0.208 0.571 (multiplicity 8)
Pd 0.250 0.250 0.000 (multiplicity 4)

* E_form: -0.398 eV per atom
* size of the total moment: 0.00 μB/f.u.
* final energy: -2.3239 eV/atom

=====

2.
A plane-wave DFT calculation with PBE-GGA was carried out for crystalline Ba2Hg7Pd at its relaxed geometry.

a b c (Å): 4.794 4.794 12.631
angles (deg): 90.00 90.00 90.00
Space group P-4m2 (No. 115)
Unique sites:
Ba 0.000 0.500 0.233 (multiplicity 2)
Hg 0.000 0.000 0.000 (multiplicity 1)
Hg 0.000 0.000 0.500 (multiplicity 1)
Hg 0.000 0.500 0.644 (multiplicity 2)
Hg 0.000 0.500 0.875 (multiplicity 2)
Hg 0.500 0.500 0.500 (multiplicity 1)
Pd 0.500 0.500 0.000 (multiplicity 1)

* E_form: -0.337 eV per atom
* size of the total moment: 0.00 μB/f.u.
* final energy: -1.4523 eV/atom

=====

3.
A plane-wave DFT calculation with PBE-GGA was carried out for crystalline BaHgPd3 at its relaxed geometry.

a b c (Å): 5.156 5.156 5.156
angles (deg): 90.00 90.00 90.00
Space group Pm-3m (No. 221)
Unique sites:
Ba 0.000 0.000 0.000 (multiplicity 1)
Hg 0.500 0.500 0.500 (multiplicity 1)
Pd 0.000 0.500 0.500 (multiplicity 3)

* E_form: 0.037 eV per atom
* distance to the lowest polymorph of the same formula: 448.7 meV per atom
* size of the total moment: 0.00 μB/f.u.
* final energy: -3.5239 eV/atom

=====

4.
A plane-wave DFT calculation with PBE-GGA was carried out for crystalline Ba12HgPd6 at its relaxed geometry.

a b c (Å): 11.611 11.611 11.611
angles (deg): 90.00 90.00 90.00
Space group Im-3 (No. 204)
Unique sites:
Ba 0.000 0.313 0.182 (multiplicity 24)
Hg 0.000 0.000 0.000 (multiplicity 2)
Pd 0.000 0.119 0.500 (multiplicity 12)

* E_form: -0.407 eV per atom
* size of the total moment: 0.03 μB/f.u.
* final energy: -3.2776 eV/atom

=====

5.
A plane-wave DFT calculation with PBE-GGA was carried out for crystalline Ba12Hg3Pd5 at its relaxed geometry.

a b c (Å): 19.576 19.576 19.576
angles (deg): 90.00 90.00 90.00
Space group Ia-3d (No. 230)
Unique sites:
Ba 0.028 0.061 0.650 (multiplicity 96)
Hg 0.000 0.250 0.125 (multiplicity 24)
Pd 0.000 0.000 0.000 (multiplicity 16)
Pd 0.000 0.250 0.375 (multiplicity 24)

* E_form: -0.292 eV per atom
* size of the total moment: 0.00 μB/f.u.
* final energy: -2.7891 eV/atom

=====

6.
A plane-wave DFT calculation with PBE-GGA was carried out for crystalline BaHg4Pd2 at its relaxed geometry.

a b c (Å): 4.653 16.645 4.595
angles (deg): 90.00 90.00 90.00
Space group Cmmm (No. 65)
Unique sites:
Ba 0.000 0.000 0.000 (multiplicity 2)
Hg 0.000 0.176 0.500 (multiplicity 4)
Hg 0.000 0.322 0.000 (multiplicity 4)
Pd 0.000 0.420 0.500 (multiplicity 4)

* E_form: -0.290 eV per atom
* distance to the lowest polymorph of the same formula: 31.2 meV per atom
* size of the total moment: 0.00 μB/f.u.
* final energy: -2.2204 eV/atom

=====

7.
A plane-wave DFT calculation with PBE-GGA was carried out for crystalline Ba2Hg5Pd at its relaxed geometry.

a b c (Å): 4.916 18.678 10.501
angles (deg): 90.00 90.00 90.00
Space group Cmcm (No. 63)
Unique sites:
Ba 0.000 0.000 0.000 (multiplicity 4)
Ba 0.000 0.196 0.250 (multiplicity 4)
Hg 0.000 0.191 0.608 (multiplicity 8)
Hg 0.000 0.357 0.528 (multiplicity 8)
Hg 0.000 0.416 0.250 (multiplicity 4)
Pd 0.000 0.436 0.750 (multiplicity 4)

* E_form: -0.421 eV per atom
* distance to the lowest polymorph of the same formula: 0.0 meV per atom
* size of the total moment: 0.00 μB/f.u.
* final energy: -1.7397 eV/atom

=====

8.
A plane-wave DFT calculation with PBE-GGA was carried out for crystalline BaHgPd2 at its relaxed geometry.

a b c (Å): 4.7628 4.7628 16.1372
angles (deg): 90.00 90.00 120.00
Space group R-3m (No. 166, hexagonal axes)
Unique sites:
Ba 0.0000 0.0000 0.0000 (multiplicity 3)
Hg 0.0000 0.0000 0.5000 (multiplicity 3)
Pd 0.0000 0.0000 0.1946 (multiplicity 6)

* E_form: -0.496 eV per atom
* size of the total moment: 0.00 μB/f.u.
* final energy: -3.6481 eV/atom

=====

| no. | calculated volume (Å³ per atom) |
| --- | --- |
| 1 | 44.79 |
| 2 | 29.03 |
| 3 | 27.41 |
| 4 | 41.19 |
| 5 | 46.89 |
| 6 | 25.42 |
| 7 | 30.13 |
| 8 | 26.42 |